# Cd2Au, relaxed, DFT PBE
data_Cd2Au
_chemical_formula_sum 'Cd8 Au4'
_space_group_name_H-M_alt 'C 1 2/m 1'
_space_group_IT_number 12
_space_group_name_Hall '-C 2y'
_cell_length_a 10.9636
_cell_length_b 3.1448
_cell_length_c 7.3254
_cell_angle_alpha 90.00
_cell_angle_beta 106.17
_cell_angle_gamma 90.00
loop_
_atom_site_label
_atom_site_type_symbol
_atom_site_fract_x
_atom_site_fract_y
_atom_site_fract_z
Cd1 Cd 0.1395 0.0000 0.0294
Cd2 Cd 0.1740 0.0000 0.6235
Au1 Au 0.0372 0.5000 0.2934
# Energy of formation in eV per atom: -0.14



# CdAu3, relaxed, DFT PBE
data_CdAu3
_chemical_formula_sum 'Cd2 Au6'
_space_group_name_H-M_alt 'C 1 2/m 1'
_space_group_IT_number 12
_space_group_name_Hall '-C 2y'
_cell_length_a 9.8236
_cell_length_b 3.0214
_cell_length_c 5.1307
_cell_angle_alpha 90.00
_cell_angle_beta 101.30
_cell_angle_gamma 90.00
loop_
_atom_site_label
_atom_site_type_symbol
_atom_site_fract_x
_atom_site_fract_y
_atom_site_fract_z
Cd1 Cd 0.0000 0.0000 0.0000
Au1 Au 0.0000 0.5000 0.5000
Au2 Au 0.2502 0.0000 0.7494
# Energy of formation in eV per atom: -0.10



# CdAu4, relaxed, DFT PBE
data_CdAu4
_chemical_formula_sum 'Cd1 Au4'
_space_group_name_H-M_alt 'P m -3 m'
_space_group_IT_number 221
_space_group_name_Hall '-P 4 2 3'
_cell_length_a 5.1171
_cell_length_b 5.1171
_cell_length_c 5.1171
_cell_angle_alpha 90.00
_cell_angle_beta 90.00
_cell_angle_gamma 90.00
loop_
_atom_site_label
_atom_site_type_symbol
_atom_site_fract_x
_atom_site_fract_y
_atom_site_fract_z
Cd1 Cd 0.0000 0.0000 0.0000
Au1 Au 0.0000 0.0000 0.5000
Au2 Au 0.5000 0.5000 0.5000
# Energy of formation in eV per atom: 0.86